Entry 1:
## La8Pr2Tm (PBE-GGA)

Data for La8Pr2Tm after structural relaxation.

abc: 5.8062 8.3260 16.6255
angles: 90.00 90.00 90.00
Space group Immm (No. 71)
One atom of each set of equivalent atoms:
La: 0.0000 0.0000 0.1582
La: 0.0000 0.2023 0.3661
La: 0.0000 0.2897 0.0000
Pr: 0.0000 0.5000 0.2023
Tm: 0.0000 0.5000 0.5000

DFT formation energy = 98 meV/atom
DOS(E_F) = 18.521 states/eV/f.u.
ρ = 6.45 g/cm³



Entry 2:
## SrCr6S8 (PBE-GGA)

Data for SrCr6S8 after structural relaxation.

abc: 8.8452 8.8452 11.1254
angles: 90.00 90.00 120.00
Space group R-3 (No. 148, hexagonal axes)
One atom of each set of equivalent atoms:
Sr: 0.0000 0.0000 0.0000
Cr: 0.0103 0.1685 0.4062
S: 0.0000 0.0000 0.2530
S: 0.0181 0.3747 0.2494

formation energy from raw total energies = -12.7 eV/f.u.
DOS(E_F) = 13.274 states/eV/f.u.
ρ = 4.34 g/cm³



Entry 3:
## Th5Sb5H2 (PBE-GGA)

Data for Th5Sb5H2 after structural relaxation.

abc: 16.7476 4.0755 12.3702
angles: 90.00 132.27 90.00
Space group C2/m (No. 12)
One atom of each set of equivalent atoms:
Th: 0.0000 0.0000 0.0000
Th: 0.0570 0.0000 0.3573
Th: 0.2255 0.5000 0.8100
Sb: 0.0000 0.5000 0.5000
Sb: 0.1033 0.5000 0.9201
Sb: 0.1880 0.5000 0.3042
H: 0.1287 0.0000 0.7565

DOS(E_F) = 3.510 states/eV/f.u.
ρ = 9.41 g/cm³



| no. | DFT total energy (eV per atom) |
| --- | --- |
| 1 | -4.7609 |
| 2 | -7.0109 |
| 3 | -6.1579 |